Record 1
The following is a PBE calculation of a geometry-optimized KMgSe structure, from Alexandria via LeMat-Bulk.

Output
Energy above the lowest structure with this stoichiometry ... 0.4 kJ/mol of atoms
Formation energy without anion corrections ... -2.84 eV per formula unit

Unit cell a=4.3464 b=6.1519 c=7.6957 alpha=101.54 beta=90.26 gamma=110.67
Closest atoms and distances in Å follow each position.
Space group P-1 (No. 2)
Inequivalent atoms, fractional coordinates:
K 0.1191 0.2331 0.3251 [2 per cell]  4 Se 3.36-3.37, 2 Mg 3.64
Mg 0.3767 0.7539 0.0516 [2 per cell]  3 Se 2.73-2.74
Se 0.1816 0.3667 0.7726 [2 per cell]  3 Mg 2.73-2.74



Record 2
The following is a PBE calculation of a geometry-optimized MgCoAg2 structure, from Alexandria via LeMat-Bulk.

Output
N(E_F) ... 1.028 states/eV per atom
DFT total energy ... -0.1255 hartree per atom

Unit cell a=3.0635 b=4.6056 c=9.2230 alpha=90.00 beta=90.00 gamma=90.00
Closest atoms and distances in Å follow each position.
Space group Imm2 (No. 44)
Inequivalent atoms, fractional coordinates:
Mg 0.0000 0.0000 0.0000 [2 per cell]  2 Co 2.70, 6 Ag 2.77-2.84
Co 0.0000 0.5000 0.2595 [2 per cell]  6 Ag 2.68-2.77, 2 Mg 2.70
Ag 0.0000 0.0000 0.5215 [2 per cell]  2 Co 2.68, 4 Mg 2.77, 2 Ag 2.87
Ag 0.0000 0.5000 0.7587 [2 per cell]  4 Co 2.77, 2 Mg 2.84, 4 Ag 2.87-3.06



Total magnetic moment: 0.00, 1.52 (μB per formula unit)